# PBE Rb2ReBiSb, optimized geometry
# Total magnetization (μB per atom): 0.875
# Uncorrected formation energy (meV/atom): 1360
data_Rb2ReBiSb
_symmetry_space_group_name_H-M 'P 4/m m m'
_symmetry_Int_Tables_number 123
_symmetry_space_group_name_Hall '-P 4 2'
_cell_length_a 7.1159
_cell_length_b 7.1159
_cell_length_c 5.7677
_cell_angle_alpha 90.00
_cell_angle_beta 90.00
_cell_angle_gamma 90.00
loop_
_atom_site_label
_atom_site_type_symbol
_atom_site_fract_x
_atom_site_fract_y
_atom_site_fract_z
Rb1 Rb 0.0000 0.5000 0.0000
Re1 Re 0.0000 0.0000 0.5000
Bi1 Bi 0.5000 0.5000 0.0000
Sb1 Sb 0.5000 0.5000 0.5000

=====

# PBE Ba2YHfH, optimized geometry
# Total magnetization (μB per atom): 0.259
data_Ba2YHfH
_symmetry_space_group_name_H-M 'P 4/m m m'
_symmetry_Int_Tables_number 123
_symmetry_space_group_name_Hall '-P 4 2'
_cell_length_a 6.8051
_cell_length_b 6.8051
_cell_length_c 3.8354
_cell_angle_alpha 90.00
_cell_angle_beta 90.00
_cell_angle_gamma 90.00
loop_
_atom_site_label
_atom_site_type_symbol
_atom_site_fract_x
_atom_site_fract_y
_atom_site_fract_z
Ba1 Ba 0.0000 0.5000 0.0000
Y1 Y 0.0000 0.0000 0.0000
Hf1 Hf 0.5000 0.5000 0.5000
H1 H 0.0000 0.0000 0.5000

=====

# PBE AgAu2Se, optimized geometry
# Total magnetization (μB per atom): 0.000
# Uncorrected formation energy (meV/atom): 133
data_AgAu2Se
_symmetry_space_group_name_H-M 'I -4 2 d'
_symmetry_Int_Tables_number 122
_symmetry_space_group_name_Hall 'I -4 2bw'
_cell_length_a 4.0189
_cell_length_b 4.0189
_cell_length_c 19.8515
_cell_angle_alpha 90.00
_cell_angle_beta 90.00
_cell_angle_gamma 90.00
loop_
_atom_site_label
_atom_site_type_symbol
_atom_site_fract_x
_atom_site_fract_y
_atom_site_fract_z
Ag1 Ag 0.0000 0.0000 0.0000
Au1 Au 0.2469 0.2500 0.6250
Se1 Se 0.0000 0.0000 0.5000

=====

no.,energy (eV/atom)
1,-3.12
2,-3.89
3,-3.09